--- one ---
Density functional theory data (GGA-PBE) for crystalline NaIn3Pd2 at its relaxed geometry.

Lattice parameters (Å, degrees): 7.396 7.396 7.396 116.68 89.26 124.33
Fractional positions:
Na1 0.431 0.181 0.250
Na2 0.569 0.819 0.750
In1 0.000 0.000 0.500
In2 0.000 0.299 0.299
In3 0.000 0.500 0.000
In4 0.000 0.701 0.701
In5 0.500 0.299 0.799
In6 0.500 0.701 0.201
Pd1 0.118 0.186 0.932
Pd2 0.247 0.814 0.432
Pd3 0.753 0.186 0.568
Pd4 0.882 0.814 0.068

## Properties
* SG: No. 74
* Fermi-level density of states: 2.28 states/eV/f.u.

--- two ---
Density functional theory data (GGA-PBE) for crystalline NaIn3Pd2 at its relaxed geometry.

Lattice parameters (Å, degrees): 7.748 7.748 5.816 90.00 90.00 52.27
Fractional positions:
Na1 0.161 0.839 0.750
Na2 0.839 0.161 0.250
In1 0.041 0.354 0.750
In2 0.354 0.041 0.250
In3 0.368 0.632 0.250
In4 0.632 0.368 0.750
In5 0.646 0.959 0.750
In6 0.959 0.646 0.250
Pd1 0.345 0.345 0.000
Pd2 0.345 0.345 0.500
Pd3 0.655 0.655 0.000
Pd4 0.655 0.655 0.500

## Properties
* SG: No. 63
* Fermi-level density of states: 2.26 states/eV/f.u.

one (0.6 kJ/mol of atoms below the next structure)

--- one ---
Density functional theory data (GGA-PBE) for crystalline NaSrIn2Pd at its relaxed geometry.

Lattice parameters (Å, degrees): 5.297 5.297 5.665 90.00 90.00 90.00
Fractional positions:
Na1 0.000 0.000 0.000
Sr1 0.500 0.500 0.000
In1 0.000 0.500 0.500
In2 0.500 0.000 0.500
Pd1 0.500 0.500 0.500

## Properties
* SG: No. 123
* Fermi-level density of states: 3.42 states/eV/f.u.

--- two ---
Density functional theory data (GGA-PBE) for crystalline NaSrIn2Pd at its relaxed geometry.

Lattice parameters (Å, degrees): 5.401 5.401 5.040 90.00 90.00 90.00
Fractional positions:
Na1 0.000 0.000 0.000
Sr1 0.500 0.500 0.500
In1 0.000 0.500 0.000
In2 0.500 0.000 0.000
Pd1 0.000 0.000 0.500

## Properties
* SG: No. 123
* Fermi-level density of states: 2.99 states/eV/f.u.

one (43.0 kJ/mol of atoms below the next structure)

--- one ---
Density functional theory data (GGA-PBE) for crystalline NaPmIn at its relaxed geometry.

Lattice parameters (Å, degrees): 5.378 5.378 3.373 90.00 90.00 120.00
Fractional positions:
Na1 0.000 0.000 0.000
Pm1 0.667 0.333 0.499
In1 0.333 0.667 0.998

## Properties
* SG: No. 156
* Fermi-level density of states: 2.40 states/eV/f.u.

--- two ---
Density functional theory data (GGA-PBE) for crystalline NaPmIn at its relaxed geometry.

Lattice parameters (Å, degrees): 7.925 7.925 7.925 154.64 154.64 36.16
Fractional positions:
Na1 0.000 0.000 0.000
Pm1 0.702 0.702 0.000
In1 0.348 0.348 0.000

## Properties
* SG: No. 107
* Fermi-level density of states: 3.73 states/eV/f.u.

one (6.2 kJ/mol of atoms below the next structure)